DFT (PBE-GGA) results for a relaxed structure of YTmHgRu.

Structure (CIF):
```
data_YTmHgRu
_chemical_formula_sum 'Y1 Tm1 Hg1 Ru1'
_symmetry_space_group_name_H-M 'P 1'
_symmetry_Int_Tables_number 1
_symmetry_space_group_name_Hall 'P 1'
_cell_length_a 5.002
_cell_length_b 5.002
_cell_length_c 5.002
_cell_angle_alpha 60.00
_cell_angle_beta 60.00
_cell_angle_gamma 60.00
loop_
_atom_site_label
_atom_site_type_symbol
_atom_site_fract_x
_atom_site_fract_y
_atom_site_fract_z
Y1 Y 0.000 0.000 0.000
Tm1 Tm 0.500 0.500 0.500
Hg1 Hg 0.750 0.750 0.750
Ru1 Ru 0.250 0.250 0.250
```

## Properties
Total magnetization, μB per formula unit: 0.0
Energy relative to the elements, eV/atom: -0.38
Uncorrected energy, eV per cell: -22.0
D(E_F), states/eV/atom: 1.005
ΔE to the lowest computed polymorph, meV/atom: 128.7



DFT (PBE-GGA) results for a relaxed structure of ZrFe2Ni.

Structure (CIF):
```
data_ZrFe2Ni
_chemical_formula_sum 'Zr1 Fe2 Ni1'
_symmetry_space_group_name_H-M 'P 1'
_symmetry_Int_Tables_number 1
_symmetry_space_group_name_Hall 'P 1'
_cell_length_a 4.289
_cell_length_b 4.289
_cell_length_c 4.289
_cell_angle_alpha 60.00
_cell_angle_beta 60.00
_cell_angle_gamma 60.00
loop_
_atom_site_label
_atom_site_type_symbol
_atom_site_fract_x
_atom_site_fract_y
_atom_site_fract_z
Zr1 Zr 0.000 0.000 0.000
Fe1 Fe 0.500 0.500 0.500
Fe2 Fe 0.750 0.750 0.750
Ni1 Ni 0.250 0.250 0.250
```

## Properties
Total magnetization, μB per formula unit: 4.4
Energy relative to the elements, eV/atom: -0.06
Uncorrected energy, eV per cell: -31.5
D(E_F), states/eV/atom: 1.127



> Number 1 is which compound?

YTmHgRu



> Look up the total magnetization of the first one.

0.0 μB per formula unit



> Which of these has the highest uncorrected energy?

YTmHgRu